[1]
The following is a DFT calculation (GGA-PBE) of a relaxed structure of Dy2ThTe.

Its crystal system is trigonal. The density of states at the Fermi level is 17.47 states/eV per cell. As for the energy relative to the elements, uncorrected: -1.896 eV per formula unit.

It has space group R3m (No. 160, hexagonal axes), with a = 3.8399 Å, b = 3.8399 Å, c = 29.7607 Å, α = 90.00°, β = 90.00° and γ = 120.00°. The inequivalent atoms are Dy at (0.0000, 0.0000, 0.0000), Dy at (0.0000, 0.0000, 0.1909), Th at (0.0000, 0.0000, 0.7624) and Te at (0.0000, 0.0000, 0.5954).



[2]
The following is a DFT calculation (GGA-PBE) of a relaxed structure of SrHgW2.

Its crystal system is cubic. The calculation puts the formation energy at 1.0812 eV/atom. The density of states at the Fermi level is 17.31 states/eV per cell.

It has space group F-43m (No. 216), with a = 6.8985 Å, b = 6.8985 Å, c = 6.8985 Å, α = 90.00°, β = 90.00° and γ = 90.00°. The inequivalent atoms are Sr at (0.0000, 0.0000, 0.0000), Hg at (0.2500, 0.2500, 0.7500), W at (0.0000, 0.0000, 0.5000) and W at (0.2500, 0.2500, 0.2500).